(1)
# CeSm2Ga4 (PBE, relaxed)
data_CeSm2Ga4
_chemical_formula_sum 'Ce2 Sm4 Ga8'
_cell_length_a 4.184
_cell_length_b 4.363
_cell_length_c 18.600
_cell_angle_alpha 90.00
_cell_angle_beta 90.00
_cell_angle_gamma 90.00
_symmetry_space_group_name_H-M 'I m m m'
_symmetry_Int_Tables_number 71
_symmetry_space_group_name_Hall '-I 2 2'
loop_
_atom_site_label
_atom_site_type_symbol
_atom_site_fract_x
_atom_site_fract_y
_atom_site_fract_z
Ce1 Ce 0.000 0.000 0.000
Sm1 Sm 0.000 0.500 0.316
Ga1 Ga 0.000 0.000 0.434
Ga2 Ga 0.000 0.500 0.144
# final energy: -63.4 eV/cell
# crystal system: orthorhombic
# formation enthalpy at 0 K: -0.60 eV/atom
# M_tot: 0.102 μB/atom

---

(2)
# CeSm2Ga (PBE, relaxed)
data_CeSm2Ga
_chemical_formula_sum 'Ce1 Sm2 Ga1'
_cell_length_a 4.836
_cell_length_b 4.836
_cell_length_c 4.572
_cell_angle_alpha 90.00
_cell_angle_beta 90.00
_cell_angle_gamma 90.00
_symmetry_space_group_name_H-M 'P 4/m m m'
_symmetry_Int_Tables_number 123
_symmetry_space_group_name_Hall '-P 4 2'
loop_
_atom_site_label
_atom_site_type_symbol
_atom_site_fract_x
_atom_site_fract_y
_atom_site_fract_z
Ce1 Ce 0.000 0.000 0.000
Sm1 Sm 0.000 0.500 0.500
Ga1 Ga 0.500 0.500 0.000
# final energy: -19.3 eV/cell
# distance to the lowest polymorph of the same formula: 4 meV/atom
# crystal system: tetragonal
# formation enthalpy at 0 K: -0.22 eV/atom
# M_tot: 0.053 μB/atom

---

(3)
# CeSmGa (PBE, relaxed)
data_CeSmGa
_chemical_formula_sum 'Ce4 Sm4 Ga4'
_cell_length_a 7.098
_cell_length_b 7.098
_cell_length_c 7.098
_cell_angle_alpha 90.00
_cell_angle_beta 90.00
_cell_angle_gamma 90.00
_symmetry_space_group_name_H-M 'F -4 3 m'
_symmetry_Int_Tables_number 216
_symmetry_space_group_name_Hall 'F -4 2 3'
loop_
_atom_site_label
_atom_site_type_symbol
_atom_site_fract_x
_atom_site_fract_y
_atom_site_fract_z
Ce1 Ce 0.000 0.000 0.000
Sm1 Sm 0.000 0.000 0.500
Ga1 Ga 0.250 0.250 0.750
# final energy: -56.5 eV/cell
# distance to the lowest polymorph of the same formula: 188 meV/atom
# crystal system: cubic
# formation enthalpy at 0 K: -0.15 eV/atom
# M_tot: 0.377 μB/atom

---

(4)
# CeSm4Ga5 (PBE, relaxed)
data_CeSm4Ga5
_chemical_formula_sum 'Ce1 Sm4 Ga5'
_cell_length_a 3.626
_cell_length_b 3.626
_cell_length_c 18.454
_cell_angle_alpha 90.00
_cell_angle_beta 90.00
_cell_angle_gamma 90.00
_symmetry_space_group_name_H-M 'P 4/m m m'
_symmetry_Int_Tables_number 123
_symmetry_space_group_name_Hall '-P 4 2'
loop_
_atom_site_label
_atom_site_type_symbol
_atom_site_fract_x
_atom_site_fract_y
_atom_site_fract_z
Ce1 Ce 0.000 0.000 0.000
Sm1 Sm 0.000 0.000 0.202
Sm2 Sm 0.000 0.000 0.400
Ga1 Ga 0.500 0.500 0.103
Ga2 Ga 0.500 0.500 0.301
Ga3 Ga 0.500 0.500 0.500
# final energy: -45.4 eV/cell
# crystal system: tetragonal
# formation enthalpy at 0 K: -0.55 eV/atom
# M_tot: 0.075 μB/atom

---

(5)
# CeSm2Ga3 (PBE, relaxed)
data_CeSm2Ga3
_chemical_formula_sum 'Ce2 Sm4 Ga6'
_cell_length_a 5.1546
_cell_length_b 5.1546
_cell_length_c 12.6716
_cell_angle_alpha 90.00
_cell_angle_beta 90.00
_cell_angle_gamma 120.00
_symmetry_space_group_name_H-M 'P -3 m 1'
_symmetry_Int_Tables_number 164
_symmetry_space_group_name_Hall '-P 3 2"'
loop_
_atom_site_label
_atom_site_type_symbol
_atom_site_fract_x
_atom_site_fract_y
_atom_site_fract_z
Ce1 Ce 0.3333 0.6667 0.1649
Sm1 Sm 0.0000 0.0000 0.0000
Sm2 Sm 0.0000 0.0000 0.5000
Sm3 Sm 0.3333 0.6667 0.6655
Ga1 Ga 0.0000 0.0000 0.2507
Ga2 Ga 0.3333 0.6667 0.4165
Ga3 Ga 0.3333 0.6667 0.9158
# final energy: -55.3 eV/cell
# distance to the lowest polymorph of the same formula: 0 meV/atom
# crystal system: trigonal
# formation enthalpy at 0 K: -0.53 eV/atom
# M_tot: 0.129 μB/atom

---

(6)
# CeSm2Ga2 (PBE, relaxed)
data_CeSm2Ga2
_chemical_formula_sum 'Ce2 Sm4 Ga4'
_cell_length_a 6.094
_cell_length_b 3.695
_cell_length_c 12.375
_cell_angle_alpha 90.00
_cell_angle_beta 94.10
_cell_angle_gamma 90.00
_symmetry_space_group_name_H-M 'P 1 21/m 1'
_symmetry_Int_Tables_number 11
_symmetry_space_group_name_Hall '-P 2yb'
loop_
_atom_site_label
_atom_site_type_symbol
_atom_site_fract_x
_atom_site_fract_y
_atom_site_fract_z
Ce1 Ce 0.076 0.250 0.289
Sm1 Sm 0.243 0.250 0.930
Sm2 Sm 0.426 0.250 0.642
Ga1 Ga 0.156 0.750 0.489
Ga2 Ga 0.269 0.750 0.126
# final energy: -45.8 eV/cell
# distance to the lowest polymorph of the same formula: 142 meV/atom
# crystal system: monoclinic
# formation enthalpy at 0 K: -0.30 eV/atom
# M_tot: 0.142 μB/atom

---

(7)
# CeSmGa (PBE, relaxed)
data_CeSmGa
_chemical_formula_sum 'Ce4 Sm4 Ga4'
_cell_length_a 3.226
_cell_length_b 5.549
_cell_length_c 17.974
_cell_angle_alpha 90.00
_cell_angle_beta 90.00
_cell_angle_gamma 90.00
_symmetry_space_group_name_H-M 'I m m m'
_symmetry_Int_Tables_number 71
_symmetry_space_group_name_Hall '-I 2 2'
loop_
_atom_site_label
_atom_site_type_symbol
_atom_site_fract_x
_atom_site_fract_y
_atom_site_fract_z
Ce1 Ce 0.000 0.245 0.000
Sm1 Sm 0.000 0.500 0.323
Ga1 Ga 0.000 0.500 0.153
# final energy: -55.9 eV/cell
# distance to the lowest polymorph of the same formula: 242 meV/atom
# crystal system: orthorhombic
# formation enthalpy at 0 K: -0.10 eV/atom
# M_tot: 0.211 μB/atom

---

(8)
# Ce4Sm3Ga4 (PBE, relaxed)
data_Ce4Sm3Ga4
_chemical_formula_sum 'Ce8 Sm6 Ga8'
_cell_length_a 3.573
_cell_length_b 8.797
_cell_length_c 18.610
_cell_angle_alpha 90.00
_cell_angle_beta 90.00
_cell_angle_gamma 90.00
_symmetry_space_group_name_H-M 'I m m m'
_symmetry_Int_Tables_number 71
_symmetry_space_group_name_Hall '-I 2 2'
loop_
_atom_site_label
_atom_site_type_symbol
_atom_site_fract_x
_atom_site_fract_y
_atom_site_fract_z
Ce1 Ce 0.000 0.161 0.167
Sm1 Sm 0.000 0.000 0.405
Sm2 Sm 0.000 0.500 0.500
Ga1 Ga 0.000 0.280 0.000
Ga2 Ga 0.000 0.500 0.222
# final energy: -108.0 eV/cell
# crystal system: orthorhombic
# formation enthalpy at 0 K: -0.36 eV/atom
# M_tot: 0.181 μB/atom

---

(9)
# Ce3SmGa2 (PBE, relaxed)
data_Ce3SmGa2
_chemical_formula_sum 'Ce12 Sm4 Ga8'
_cell_length_a 18.050
_cell_length_b 4.517
_cell_length_c 8.037
_cell_angle_alpha 90.00
_cell_angle_beta 115.90
_cell_angle_gamma 90.00
_symmetry_space_group_name_H-M 'C 1 2/m 1'
_symmetry_Int_Tables_number 12
_symmetry_space_group_name_Hall '-C 2y'
loop_
_atom_site_label
_atom_site_type_symbol
_atom_site_fract_x
_atom_site_fract_y
_atom_site_fract_z
Ce1 Ce 0.064 0.000 0.456
Ce2 Ce 0.130 0.500 0.688
Ce3 Ce 0.203 0.500 0.428
Sm1 Sm 0.112 0.000 0.042
Ga1 Ga 0.014 0.500 0.177
Ga2 Ga 0.250 0.000 0.892
# final energy: -123.1 eV/cell
# crystal system: monoclinic
# formation enthalpy at 0 K: -0.37 eV/atom
# M_tot: 0.001 μB/atom

---

(10)
# Ce3SmGa8 (PBE, relaxed)
data_Ce3SmGa8
_chemical_formula_sum 'Ce9 Sm3 Ga24'
_cell_length_a 5.5839
_cell_length_b 5.5839
_cell_length_c 27.3638
_cell_angle_alpha 90.00
_cell_angle_beta 90.00
_cell_angle_gamma 120.00
_symmetry_space_group_name_H-M 'R 3 m'
_symmetry_Int_Tables_number 160
_symmetry_space_group_name_Hall 'R 3 -2"'
loop_
_atom_site_label
_atom_site_type_symbol
_atom_site_fract_x
_atom_site_fract_y
_atom_site_fract_z
Ce1 Ce 0.0000 0.0000 0.0000
Ce2 Ce 0.0000 0.0000 0.1227
Ce3 Ce 0.0000 0.0000 0.6271
Sm1 Sm 0.0000 0.0000 0.5001
Ga1 Ga 0.0000 0.0000 0.3121
Ga2 Ga 0.0000 0.0000 0.8125
Ga3 Ga 0.0003 0.5002 0.0630
Ga4 Ga 0.1672 0.3344 0.8953
# final energy: -159.5 eV/cell
# crystal system: trigonal
# formation enthalpy at 0 K: -0.54 eV/atom
# M_tot: 0.243 μB/atom

---

Which of these has the highest final energy?
CeSm2Ga

---

Look up the formation enthalpy at 0 K of the fourth one.
-0.55 eV/atom